Entry from Alexandria via LeMat-Bulk: crystalline Nd2HoSi3Pt4 at its relaxed geometry (PBE-GGA).

VASP energy = -65.18 eV for the cell shown
Raw formation energy = -1.06 eV per atom
SG = P-4m2
Calculated density = 11.1 Mg/m³
Spin magnetization = 0.0 Bohr magnetons per cell

```
Nd2HoSi3Pt4
1.0
4.274 0.000 0.000
0.000 4.274 0.000
0.000 0.000 10.823
Nd Ho Si Pt
2 1 3 4
direct
0.000 0.500 0.227
0.500 0.000 0.773
0.000 0.000 0.500
0.000 0.500 0.881
0.500 0.000 0.119
0.500 0.500 0.500
0.000 0.000 0.000
0.000 0.500 0.659
0.500 0.000 0.341
0.500 0.500 0.000
```